# 1
## Na2Zr (PBE)

Data for a relaxed Na2Zr crystal. Values from VASP.

## Properties
Total magnetization: 1.649 μB per formula unit
Electronic total energy: -2.995 eV per atom
Energy relative to the lowest polymorph listed for this composition: 3 meV per atom

Geometry as Quantum ESPRESSO input:
```
&SYSTEM
  ibrav = 0, nat = 6, ntyp = 2
/
ATOMIC_SPECIES
Na 22.99 Na.upf
Zr 91.22 Zr.upf
CELL_PARAMETERS angstrom
0.000 4.206 4.206
4.206 0.000 4.206
4.206 4.206 0.000
ATOMIC_POSITIONS crystal
Na 0.625 0.625 0.125
Na 0.625 0.125 0.625
Na 0.125 0.625 0.625
Na 0.625 0.625 0.625
Zr 0.000 0.000 0.000
Zr 0.250 0.250 0.250
```

=====

# 2
## Er3Mg3AlPt2 (PBE)

Data for a relaxed Er3Mg3AlPt2 crystal. Values from VASP.

## Properties
Total magnetization: 0.009 μB per formula unit
Electronic total energy: -4.498 eV per atom

Geometry as Quantum ESPRESSO input:
```
&SYSTEM
  ibrav = 0, nat = 9, ntyp = 4
/
ATOMIC_SPECIES
Al 26.98 Al.upf
Er 167.26 Er.upf
Mg 24.30 Mg.upf
Pt 195.08 Pt.upf
CELL_PARAMETERS angstrom
-0.031 -1.703 7.180
4.748 -3.332 -4.562
2.776 2.973 0.717
ATOMIC_POSITIONS crystal
Al 0.000 0.000 0.000
Er 0.577 0.000 0.000
Er 0.423 0.423 0.000
Er 0.000 0.577 0.000
Mg 0.252 0.000 0.500
Mg 0.000 0.252 0.500
Mg 0.748 0.748 0.500
Pt 0.667 0.333 0.500
Pt 0.333 0.667 0.500
```

=====

# 3
## TlPbAuSe3 (PBE)

Data for a relaxed TlPbAuSe3 crystal. Values from VASP.

## Properties
Electronic total energy: -3.431 eV per atom

Geometry as Quantum ESPRESSO input:
```
&SYSTEM
  ibrav = 0, nat = 12, ntyp = 4
/
ATOMIC_SPECIES
Au 196.97 Au.upf
Pb 207.20 Pb.upf
Se 78.96 Se.upf
Tl 204.38 Tl.upf
CELL_PARAMETERS angstrom
3.960 0.000 0.000
0.000 11.315 0.000
-1.980 0.000 7.047
ATOMIC_POSITIONS crystal
Au 0.530 0.000 0.060
Au 0.470 0.500 0.940
Pb 0.000 0.250 0.000
Pb 0.000 0.750 0.000
Se 0.092 0.500 0.184
Se 0.656 0.177 0.311
Se 0.656 0.823 0.311
Se 0.344 0.323 0.689
Se 0.344 0.677 0.689
Se 0.908 0.000 0.816
Tl 0.241 0.000 0.481
Tl 0.759 0.500 0.519
```

=====

# 4
## Li4AlSnAu2 (PBE)

Data for a relaxed Li4AlSnAu2 crystal. Values from VASP.

## Properties
Electronic total energy: -3.264 eV per atom

Geometry as Quantum ESPRESSO input:
```
&SYSTEM
  ibrav = 0, nat = 8, ntyp = 4
/
ATOMIC_SPECIES
Al 26.98 Al.upf
Au 196.97 Au.upf
Li 6.94 Li.upf
Sn 118.71 Sn.upf
CELL_PARAMETERS angstrom
-1.410 -3.954 -1.489
-0.729 -1.319 4.192
-6.020 2.272 -0.332
ATOMIC_POSITIONS crystal
Al 0.000 0.000 0.500
Au 0.000 0.500 0.276
Au 0.500 0.000 0.724
Li 0.000 0.000 0.000
Li 0.500 0.000 0.264
Li 0.500 0.500 0.500
Li 0.000 0.500 0.736
Sn 0.500 0.500 0.000
```

=====

# 5
## ZrTlCoIr (PBE)

Data for a relaxed ZrTlCoIr crystal. Values from VASP.

## Properties
Total magnetization: 1.708 μB per formula unit
Electronic total energy: -6.546 eV per atom
Energy relative to the lowest polymorph listed for this composition: 323 meV per atom

Geometry as Quantum ESPRESSO input:
```
&SYSTEM
  ibrav = 0, nat = 4, ntyp = 4
/
ATOMIC_SPECIES
Co 58.93 Co.upf
Ir 192.22 Ir.upf
Tl 204.38 Tl.upf
Zr 91.22 Zr.upf
CELL_PARAMETERS angstrom
-3.770 -2.355 -1.296
-3.439 2.171 -2.213
-0.769 -0.853 -4.485
ATOMIC_POSITIONS crystal
Co 0.750 0.750 0.750
Ir 0.500 0.500 0.500
Tl 0.000 0.000 0.000
Zr 0.250 0.250 0.250
```

=====

# 6
## Na2HfF6 (PBE)

Data for a relaxed Na2HfF6 crystal. Values from VASP.

## Properties
Total magnetization: 0.005 μB per formula unit
Electronic total energy: -6.051 eV per atom

Geometry as Quantum ESPRESSO input:
```
&SYSTEM
  ibrav = 0, nat = 18, ntyp = 3
/
ATOMIC_SPECIES
F 19.00 F.upf
Hf 178.49 Hf.upf
Na 22.99 Na.upf
CELL_PARAMETERS angstrom
-0.295 4.744 -1.339
-4.795 -0.586 -1.021
-2.277 2.476 9.274
ATOMIC_POSITIONS crystal
F 0.285 0.285 0.000
F 0.715 0.715 0.000
F 0.809 0.191 0.150
F 0.191 0.809 0.150
F 0.309 0.309 0.350
F 0.691 0.691 0.350
F 0.785 0.215 0.500
F 0.215 0.785 0.500
F 0.309 0.309 0.650
F 0.691 0.691 0.650
F 0.809 0.191 0.850
F 0.191 0.809 0.850
Hf 0.000 0.000 0.000
Hf 0.500 0.500 0.500
Na 0.500 0.500 0.165
Na 0.000 0.000 0.335
Na 0.000 0.000 0.665
Na 0.500 0.500 0.835
```

=====

# 7
## ScTlCd2 (PBE)

Data for a relaxed ScTlCd2 crystal. Values from VASP.

## Properties
Total magnetization: 0.001 μB per formula unit
Electronic total energy: -2.717 eV per atom
Energy relative to the lowest polymorph listed for this composition: 98 meV per atom

Geometry as Quantum ESPRESSO input:
```
&SYSTEM
  ibrav = 0, nat = 4, ntyp = 3
/
ATOMIC_SPECIES
Cd 112.41 Cd.upf
Sc 44.96 Sc.upf
Tl 204.38 Tl.upf
CELL_PARAMETERS angstrom
0.000 3.556 3.556
3.556 0.000 3.556
3.556 3.556 0.000
ATOMIC_POSITIONS crystal
Cd 0.000 0.000 0.000
Cd 0.750 0.750 0.750
Sc 0.250 0.250 0.250
Tl 0.500 0.500 0.500
```

=====

# 8
## SmBeGa (PBE)

Data for a relaxed SmBeGa crystal. Values from VASP.

## Properties
Total magnetization: 0.000 μB per formula unit
Electronic total energy: -3.366 eV per atom
Energy relative to the lowest polymorph listed for this composition: 722 meV per atom

Geometry as Quantum ESPRESSO input:
```
&SYSTEM
  ibrav = 0, nat = 3, ntyp = 3
/
ATOMIC_SPECIES
Be 9.01 Be.upf
Ga 69.72 Ga.upf
Sm 150.36 Sm.upf
CELL_PARAMETERS angstrom
0.000 3.296 3.296
3.296 0.000 3.296
3.296 3.296 0.000
ATOMIC_POSITIONS crystal
Be 0.250 0.250 0.250
Ga 0.750 0.750 0.750
Sm 0.000 0.000 0.000
```